# 1
Computed, not measured: a relaxed ZnPb3F6 crystal at the PBE-GGA level of DFT.

The structure in POSCAR format:
```
ZnPb3F6
1.0
-0.774 1.073 5.286
-8.065 -2.125 -0.749
4.547 -6.731 2.032
Zn Pb F
2 6 12
Cartesian
1.686 -4.929 6.628
-6.299 -2.408 2.139
-4.886 -6.131 2.729
-1.813 -6.858 6.135
-0.732 -4.513 2.869
-3.740 -3.019 4.934
0.376 -1.348 5.336
-2.697 -0.621 1.930
-2.745 -5.440 1.575
-2.437 -5.157 4.372
-0.500 -7.134 3.436
-5.732 -4.828 5.010
-7.367 -2.242 0.349
0.746 -4.821 4.796
-4.898 -3.155 0.823
3.195 -5.705 5.407
1.260 -2.704 2.794
-3.972 -0.398 4.368
-1.708 -2.828 1.197
-1.400 -2.546 3.993
```

Output
E_tot: -4.360 eV per atom


# 2
Computed, not measured: a relaxed YGa2Ir crystal at the PBE-GGA level of DFT.

The structure in POSCAR format:
```
YGa2Ir
1.0
-4.108 -0.457 2.061
-3.758 1.904 -1.893
-3.247 -2.686 -1.892
Y Ir Ga
1 1 2
Cartesian
0.000 0.000 0.000
-5.556 -0.620 -0.861
-2.778 -0.310 -0.431
-8.335 -0.929 -1.292
```

Output
E_tot: -5.909 eV per atom
Energy of formation: -0.56 eV/atom


# 3
Computed, not measured: a relaxed RbPuTlF6 crystal at the PBE-GGA level of DFT.

The structure in POSCAR format:
```
RbPuTlF6
1.0
6.950 0.000 0.000
-3.475 6.019 0.000
0.000 0.000 9.512
Rb Pu Tl F
2 2 2 12
Cartesian
0.000 4.012 2.378
3.475 2.006 7.134
3.475 2.006 2.378
0.000 4.012 7.134
0.000 0.000 0.000
0.000 0.000 4.756
2.594 3.599 1.209
5.294 1.972 1.209
-0.939 5.571 5.965
-1.819 4.046 8.303
1.655 1.972 3.547
4.355 3.599 3.547
0.939 5.571 8.303
4.414 0.447 3.547
-0.881 2.420 5.965
2.536 0.447 1.209
1.819 4.046 5.965
0.881 2.420 8.303
```

Output
E_tot: -6.208 eV per atom


# 4
Computed, not measured: a relaxed PaAsPPd crystal at the PBE-GGA level of DFT.

The structure in POSCAR format:
```
PaAsPPd
1.0
-2.469 -0.054 -4.017
1.782 -2.087 -3.835
-1.864 -4.038 -1.568
P As Pa Pd
1 1 1 1
Cartesian
-1.913 -4.634 -7.066
-0.638 -1.545 -2.355
-1.275 -3.089 -4.710
0.000 0.000 0.000
```

Output
E_tot: -6.782 eV per atom
Energy of formation: -0.59 eV/atom


# 5
Computed, not measured: a relaxed U2MnBe3Si4 crystal at the PBE-GGA level of DFT.

The structure in POSCAR format:
```
U2MnBe3Si4
1.0
-1.268 1.684 -3.279
-3.357 -1.960 0.291
-3.685 7.060 5.050
U Mn Be Si
2 1 3 4
Cartesian
-1.551 2.600 -0.382
-4.446 4.322 3.938
-4.155 3.392 1.031
-1.842 3.530 2.525
-3.846 6.997 2.763
-2.151 -0.075 0.793
-2.312 -0.138 -1.494
0.000 0.000 0.000
-2.982 5.342 1.580
-3.014 1.580 1.977
```

Output
E_tot: -6.709 eV per atom